1.
{
  "formula": "SrMg14Ni",
  "functional": "GGA-PBE",
  "state": "relaxed",
  "e_form_mev_per_atom": 43,
  "dos_at_fermi_per_ev_cell": 5.21,
  "polymorph_energy_mev_per_atom": 0,
  "magnetic_moment_mub_per_fu": 0.00,
  "mass_density_g_cm3": 2.15,
  "e_tot_ev_per_atom": -1.818,
  "lattice_angstrom": [[-4.796, 4.071, -1.854], [1.733, -5.302, -3.449], [-6.901, -5.711, 5.312]],
  "species": ["Mg", "Mg", "Mg", "Mg", "Mg", "Mg", "Mg", "Mg", "Mg", "Mg", "Mg", "Mg", "Mg", "Mg", "Ni", "Sr"],
  "frac_coords": [[0.164, 0.836, 0.232], [0.167, 0.322, 0.752], [0.678, 0.833, 0.752], [0.690, 0.310, 0.297], [0.817, 0.710, 0.500], [0.290, 0.183, 0.500], [0.167, 0.322, 0.248], [0.164, 0.836, 0.768], [0.825, 0.662, 0.000], [0.830, 0.170, 0.000], [0.338, 0.175, 0.000], [0.690, 0.310, 0.703], [0.336, 0.664, 0.000], [0.678, 0.833, 0.248], [0.859, 0.141, 0.500], [0.308, 0.692, 0.500]]
}

2.
{
  "formula": "PuZn4",
  "functional": "GGA-PBE",
  "state": "relaxed",
  "e_form_mev_per_atom": -95,
  "dos_at_fermi_per_ev_cell": 12.27,
  "polymorph_energy_mev_per_atom": 0,
  "magnetic_moment_mub_per_fu": 5.75,
  "mass_density_g_cm3": 8.97,
  "e_tot_ev_per_atom": -3.981,
  "lattice_angstrom": [[4.113, 0.020, 0.001], [-0.021, 4.113, 0.001], [-2.044, -2.065, 5.533]],
  "species": ["Pu", "Zn", "Zn", "Zn", "Zn"],
  "frac_coords": [[0.500, 0.000, 0.500], [0.112, 0.612, 0.724], [0.888, 0.388, 0.276], [0.750, 0.750, 0.000], [0.250, 0.250, 0.000]]
}

3.
{
  "formula": "ZrGa3Fe3",
  "functional": "GGA-PBE",
  "state": "relaxed",
  "e_form_mev_per_atom": 726,
  "dos_at_fermi_per_ev_cell": 21.54,
  "polymorph_energy_mev_per_atom": 749,
  "magnetic_moment_mub_per_fu": 5.60,
  "mass_density_g_cm3": 5.88,
  "e_tot_ev_per_atom": -5.420,
  "lattice_angstrom": [[6.419, 0.000, 0.000], [0.000, 6.419, 0.000], [0.000, 0.000, 6.419]],
  "species": ["Fe", "Fe", "Fe", "Fe", "Fe", "Fe", "Ga", "Ga", "Ga", "Ga", "Ga", "Ga", "Zr", "Zr"],
  "frac_coords": [[0.500, 0.000, 0.250], [0.000, 0.250, 0.500], [0.250, 0.500, 0.000], [0.750, 0.500, 0.000], [0.000, 0.750, 0.500], [0.500, 0.000, 0.750], [0.750, 0.000, 0.500], [0.000, 0.500, 0.250], [0.000, 0.500, 0.750], [0.500, 0.250, 0.000], [0.500, 0.750, 0.000], [0.250, 0.000, 0.500], [0.500, 0.500, 0.500], [0.000, 0.000, 0.000]]
}

4.
{
  "formula": "Pm2YZrN4",
  "functional": "GGA-PBE",
  "state": "relaxed",
  "formation_energy_uncorrected_mev_per_atom": -1581,
  "dos_at_fermi_per_ev_cell": 1.13,
  "magnetic_moment_mub_per_fu": 0.00,
  "mass_density_g_cm3": 7.34,
  "e_tot_ev_per_atom": -8.808,
  "lattice_angstrom": [[3.464, 0.000, 0.000], [0.000, 6.007, 0.114], [0.000, -2.091, 5.676]],
  "species": ["Pm", "Pm", "N", "N", "N", "N", "Y", "Zr"],
  "frac_coords": [[0.500, 0.000, 0.500], [0.000, 0.500, 0.500], [0.500, 0.233, 0.227], [0.000, 0.244, 0.768], [0.500, 0.767, 0.773], [0.000, 0.756, 0.232], [0.500, 0.500, 0.000], [0.000, 0.000, 0.000]]
}

5.
{
  "formula": "PrNi2Ge",
  "functional": "GGA-PBE",
  "state": "relaxed",
  "e_form_mev_per_atom": -327,
  "dos_at_fermi_per_ev_cell": 2.96,
  "magnetic_moment_mub_per_fu": 0.00,
  "mass_density_g_cm3": 6.92,
  "e_tot_ev_per_atom": -5.567,
  "lattice_angstrom": [[-3.350, -1.971, -0.427], [0.592, -1.794, 3.638], [-2.454, 3.691, 2.218]],
  "species": ["Pr", "Ni", "Ni", "Ge"],
  "frac_coords": [[0.500, 0.500, 0.000], [0.000, 0.000, 0.756], [0.000, 0.000, 0.244], [0.500, 0.000, 0.500]]
}

6.
{
  "formula": "Li2AgPd8",
  "functional": "GGA-PBE",
  "state": "relaxed",
  "e_form_mev_per_atom": -63,
  "dos_at_fermi_per_ev_cell": 11.45,
  "polymorph_energy_mev_per_atom": 100,
  "magnetic_moment_mub_per_fu": 0.00,
  "mass_density_g_cm3": 9.71,
  "e_tot_ev_per_atom": -4.447,
  "lattice_angstrom": [[4.749, 0.554, 0.420], [1.179, 7.063, 2.084], [1.179, 3.909, 6.241]],
  "species": ["Pd", "Pd", "Pd", "Pd", "Pd", "Pd", "Pd", "Pd", "Ag", "Li", "Li"],
  "frac_coords": [[0.008, 0.593, 0.593], [0.518, 0.649, 0.149], [0.992, 0.407, 0.407], [0.518, 0.149, 0.649], [0.070, 0.789, 0.789], [0.930, 0.211, 0.211], [0.482, 0.851, 0.351], [0.482, 0.351, 0.851], [0.000, 0.000, 0.000], [0.607, 0.742, 0.742], [0.393, 0.258, 0.258]]
}